a | Compound: ZnP2SCl
Source: Alexandria
Functional: GGA-PBEsol
Structure: relaxed

CIF file:
```
data_ZnP2SCl
_cell_length_a 4.442
_cell_length_b 4.687
_cell_length_c 4.687
_cell_angle_alpha 90.00
_cell_angle_beta 90.00
_cell_angle_gamma 90.00
_space_group_name_H-M_alt 'P 1'
_space_group_IT_number 1
_space_group_name_Hall 'P 1'
loop_
_atom_site_label
_atom_site_type_symbol
_atom_site_fract_x
_atom_site_fract_y
_atom_site_fract_z
P1 P 0.000 0.000 0.500
P2 P 0.000 0.500 0.000
Zn1 Zn 0.000 0.000 0.000
S1 S 0.500 0.000 0.000
Cl1 Cl 0.500 0.500 0.500
```

Properties
DOS at the Fermi energy = 0.74 states/eV/atom
M_tot = 0.001 μB/cell



b | Compound: ZnP2SCl
Source: Alexandria
Functional: GGA-PBEsol
Structure: relaxed

CIF file:
```
data_ZnP2SCl
_cell_length_a 4.443
_cell_length_b 4.661
_cell_length_c 4.661
_cell_angle_alpha 90.00
_cell_angle_beta 90.00
_cell_angle_gamma 90.00
_space_group_name_H-M_alt 'P 1'
_space_group_IT_number 1
_space_group_name_Hall 'P 1'
loop_
_atom_site_label
_atom_site_type_symbol
_atom_site_fract_x
_atom_site_fract_y
_atom_site_fract_z
P1 P 0.000 0.000 0.500
P2 P 0.000 0.500 0.000
Zn1 Zn 0.000 0.000 0.000
S1 S 0.500 0.500 0.500
Cl1 Cl 0.500 0.000 0.000
```

Properties
DOS at the Fermi energy = 0.65 states/eV/atom
M_tot = 0.001 μB/cell



According to the calculations, the structures order from most to least stable as b, a.



a | Compound: SbPCl2
Source: Alexandria
Functional: GGA-PBEsol
Structure: relaxed

CIF file:
```
data_SbPCl2
_cell_length_a 4.228
_cell_length_b 4.228
_cell_length_c 5.299
_cell_angle_alpha 113.51
_cell_angle_beta 113.51
_cell_angle_gamma 90.00
_space_group_name_H-M_alt 'P 1'
_space_group_IT_number 1
_space_group_name_Hall 'P 1'
loop_
_atom_site_label
_atom_site_type_symbol
_atom_site_fract_x
_atom_site_fract_y
_atom_site_fract_z
Sb1 Sb 0.000 0.000 0.000
P1 P 0.500 0.500 0.000
Cl1 Cl 0.750 0.250 0.500
Cl2 Cl 0.250 0.750 0.500
```

Properties
DOS at the Fermi energy = 0.58 states/eV/atom
M_tot = 0.000 μB/cell



b | Compound: SbPCl2
Source: Alexandria
Functional: GGA-PBEsol
Structure: relaxed

CIF file:
```
data_SbPCl2
_cell_length_a 4.267
_cell_length_b 4.267
_cell_length_c 9.719
_cell_angle_alpha 102.68
_cell_angle_beta 102.68
_cell_angle_gamma 90.00
_space_group_name_H-M_alt 'P 1'
_space_group_IT_number 1
_space_group_name_Hall 'P 1'
loop_
_atom_site_label
_atom_site_type_symbol
_atom_site_fract_x
_atom_site_fract_y
_atom_site_fract_z
Sb1 Sb 0.250 0.750 0.500
Sb2 Sb 0.000 0.000 0.000
P1 P 0.750 0.250 0.500
P2 P 0.500 0.500 0.000
Cl1 Cl 0.381 0.875 0.250
Cl2 Cl 0.869 0.375 0.250
Cl3 Cl 0.125 0.131 0.750
Cl4 Cl 0.625 0.619 0.750
```

Properties
DOS at the Fermi energy = 0.25 states/eV/atom
M_tot = 0.000 μB/cell



According to the calculations, the structures order from most to least stable as b, a.



a | Compound: Sb2PCl
Source: Alexandria
Functional: GGA-PBEsol
Structure: relaxed

CIF file:
```
data_Sb2PCl
_cell_length_a 4.345
_cell_length_b 4.345
_cell_length_c 6.469
_cell_angle_alpha 70.37
_cell_angle_beta 70.37
_cell_angle_gamma 60.00
_space_group_name_H-M_alt 'P 1'
_space_group_IT_number 1
_space_group_name_Hall 'P 1'
loop_
_atom_site_label
_atom_site_type_symbol
_atom_site_fract_x
_atom_site_fract_y
_atom_site_fract_z
Sb1 Sb 0.271 0.271 0.187
Sb2 Sb 0.729 0.729 0.813
Cl1 Cl 0.500 0.500 0.500
P1 P 0.000 0.000 0.000
```

Properties
DOS at the Fermi energy = 0.53 states/eV/atom
M_tot = 0.000 μB/cell



b | Compound: Sb2PCl
Source: Alexandria
Functional: GGA-PBEsol
Structure: relaxed

CIF file:
```
data_Sb2PCl
_cell_length_a 3.945
_cell_length_b 3.945
_cell_length_c 6.374
_cell_angle_alpha 108.02
_cell_angle_beta 108.02
_cell_angle_gamma 90.00
_space_group_name_H-M_alt 'P 1'
_space_group_IT_number 1
_space_group_name_Hall 'P 1'
loop_
_atom_site_label
_atom_site_type_symbol
_atom_site_fract_x
_atom_site_fract_y
_atom_site_fract_z
Sb1 Sb 0.000 0.000 0.000
Sb2 Sb 0.750 0.250 0.500
P1 P 0.250 0.750 0.500
Cl1 Cl 0.500 0.500 0.000
```

Properties
DOS at the Fermi energy = 0.70 states/eV/atom
M_tot = 0.000 μB/cell



According to the calculations, the structures order from most to least stable as a, b.



a | Compound: ScPCl2
Source: Alexandria
Functional: GGA-PBEsol
Structure: relaxed

CIF file:
```
data_ScPCl2
_cell_length_a 4.600
_cell_length_b 4.600
_cell_length_c 4.600
_cell_angle_alpha 60.00
_cell_angle_beta 60.00
_cell_angle_gamma 60.00
_space_group_name_H-M_alt 'P 1'
_space_group_IT_number 1
_space_group_name_Hall 'P 1'
loop_
_atom_site_label
_atom_site_type_symbol
_atom_site_fract_x
_atom_site_fract_y
_atom_site_fract_z
Cl1 Cl 0.750 0.750 0.750
Cl2 Cl 0.250 0.250 0.250
P1 P 0.000 0.000 0.000
Sc1 Sc 0.500 0.500 0.500
```

Properties
DOS at the Fermi energy = 0.73 states/eV/atom
M_tot = 0.000 μB/cell



b | Compound: ScPCl2
Source: Alexandria
Functional: GGA-PBEsol
Structure: relaxed

CIF file:
```
data_ScPCl2
_cell_length_a 3.884
_cell_length_b 3.884
_cell_length_c 5.414
_cell_angle_alpha 111.02
_cell_angle_beta 111.02
_cell_angle_gamma 90.00
_space_group_name_H-M_alt 'P 1'
_space_group_IT_number 1
_space_group_name_Hall 'P 1'
loop_
_atom_site_label
_atom_site_type_symbol
_atom_site_fract_x
_atom_site_fract_y
_atom_site_fract_z
Cl1 Cl 0.000 0.000 0.000
Cl2 Cl 0.750 0.250 0.500
P1 P 0.500 0.500 0.000
Sc1 Sc 0.250 0.750 0.500
```

Properties
DOS at the Fermi energy = 0.37 states/eV/atom
M_tot = 0.000 μB/cell



c | Compound: ScPCl2
Source: Alexandria
Functional: GGA-PBEsol
Structure: relaxed

CIF file:
```
data_ScPCl2
_cell_length_a 3.545
_cell_length_b 4.832
_cell_length_c 6.209
_cell_angle_alpha 100.25
_cell_angle_beta 90.00
_cell_angle_gamma 111.52
_space_group_name_H-M_alt 'P 1'
_space_group_IT_number 1
_space_group_name_Hall 'P 1'
loop_
_atom_site_label
_atom_site_type_symbol
_atom_site_fract_x
_atom_site_fract_y
_atom_site_fract_z
Cl1 Cl 0.078 0.156 0.081
Cl2 Cl 0.288 0.577 0.668
P1 P 0.422 0.843 0.406
Sc1 Sc 0.712 0.424 0.346
```

Properties
DOS at the Fermi energy = 0.01 states/eV/atom
M_tot = 0.000 μB/cell



d | Compound: ScPCl2
Source: Alexandria
Functional: GGA-PBEsol
Structure: relaxed

CIF file:
```
data_ScPCl2
_cell_length_a 3.244
_cell_length_b 3.244
_cell_length_c 9.521
_cell_angle_alpha 80.19
_cell_angle_beta 80.19
_cell_angle_gamma 60.00
_space_group_name_H-M_alt 'P 1'
_space_group_IT_number 1
_space_group_name_Hall 'P 1'
loop_
_atom_site_label
_atom_site_type_symbol
_atom_site_fract_x
_atom_site_fract_y
_atom_site_fract_z
Cl1 Cl 0.275 0.275 0.175
Cl2 Cl 0.725 0.725 0.825
P1 P 0.500 0.500 0.500
Sc1 Sc 0.000 0.000 0.000
```

Properties
DOS at the Fermi energy = 0.53 states/eV/atom
M_tot = 0.541 μB/cell



According to the calculations, the structures order from most to least stable as c, d, b, a.



a | Compound: ScPCl2
Source: Alexandria
Functional: GGA-PBEsol
Structure: relaxed

CIF file:
```
data_ScPCl2
_cell_length_a 3.124
_cell_length_b 4.895
_cell_length_c 4.895
_cell_angle_alpha 106.35
_cell_angle_beta 90.00
_cell_angle_gamma 90.00
_space_group_name_H-M_alt 'P 1'
_space_group_IT_number 1
_space_group_name_Hall 'P 1'
loop_
_atom_site_label
_atom_site_type_symbol
_atom_site_fract_x
_atom_site_fract_y
_atom_site_fract_z
Cl1 Cl 0.000 0.500 0.000
Cl2 Cl 0.000 0.000 0.500
P1 P 0.500 0.000 0.000
Sc1 Sc 0.500 0.500 0.500
```

Properties
DOS at the Fermi energy = 0.51 states/eV/atom
M_tot = 0.000 μB/cell



b | Compound: ScPCl2
Source: Alexandria
Functional: GGA-PBEsol
Structure: relaxed

CIF file:
```
data_ScPCl2
_cell_length_a 4.673
_cell_length_b 4.673
_cell_length_c 4.673
_cell_angle_alpha 60.00
_cell_angle_beta 60.00
_cell_angle_gamma 60.00
_space_group_name_H-M_alt 'P 1'
_space_group_IT_number 1
_space_group_name_Hall 'P 1'
loop_
_atom_site_label
_atom_site_type_symbol
_atom_site_fract_x
_atom_site_fract_y
_atom_site_fract_z
Cl1 Cl 0.000 0.000 0.000
Cl2 Cl 0.250 0.250 0.250
P1 P 0.500 0.500 0.500
Sc1 Sc 0.750 0.750 0.750
```

Properties
DOS at the Fermi energy = 1.19 states/eV/atom
M_tot = 0.002 μB/cell



According to the calculations, the structures order from most to least stable as b, a.



a | Compound: P2SeCl
Source: Alexandria
Functional: GGA-PBEsol
Structure: relaxed

CIF file:
```
data_P2SeCl
_cell_length_a 3.438
_cell_length_b 3.438
_cell_length_c 7.384
_cell_angle_alpha 76.54
_cell_angle_beta 76.54
_cell_angle_gamma 60.00
_space_group_name_H-M_alt 'P 1'
_space_group_IT_number 1
_space_group_name_Hall 'P 1'
loop_
_atom_site_label
_atom_site_type_symbol
_atom_site_fract_x
_atom_site_fract_y
_atom_site_fract_z
P1 P 0.016 0.016 0.952
P2 P 0.739 0.739 0.784
Se1 Se 0.479 0.479 0.562
Cl1 Cl 0.266 0.266 0.202
```

Properties
DOS at the Fermi energy = 0.53 states/eV/atom
M_tot = 0.000 μB/cell



b | Compound: P2SeCl
Source: Alexandria
Functional: GGA-PBEsol
Structure: relaxed

CIF file:
```
data_P2SeCl
_cell_length_a 4.557
_cell_length_b 4.557
_cell_length_c 4.809
_cell_angle_alpha 115.10
_cell_angle_beta 115.10
_cell_angle_gamma 96.01
_space_group_name_H-M_alt 'P 1'
_space_group_IT_number 1
_space_group_name_Hall 'P 1'
loop_
_atom_site_label
_atom_site_type_symbol
_atom_site_fract_x
_atom_site_fract_y
_atom_site_fract_z
P1 P 0.500 0.000 0.500
P2 P 0.000 0.500 0.500
Se1 Se 0.000 0.000 0.000
Cl1 Cl 0.500 0.500 0.000
```

Properties
DOS at the Fermi energy = 0.55 states/eV/atom
M_tot = 0.000 μB/cell



According to the calculations, the structures order from most to least stable as a, b.